# Ir6Os3Rh

A geometry-optimized Ir6Os3Rh structure (PBE-GGA, the Alexandria database).

Cell lengths 6.200, 6.200, 6.200 Å; angles 59.30, 59.30, 59.30 degrees
Element x y z (fractional)
Ir1 0.043 0.722 0.235
Ir2 0.235 0.043 0.722
Ir3 0.322 0.524 0.826
Ir4 0.524 0.826 0.322
Ir5 0.722 0.235 0.043
Ir6 0.826 0.322 0.524
Os1 0.410 0.410 0.410
Os2 0.701 0.701 0.701
Os3 0.853 0.853 0.853
Rh1 0.146 0.146 0.146

Theoretical density in g/cm3: 18.29
E above lowest polymorph in meV/atom: 441
D(E_F) in states/eV per atom: 0.86
ΔH_f (0 K) in eV/atom: 0.59

---

# Ir2OsRh2

A geometry-optimized Ir2OsRh2 structure (PBE-GGA, the Alexandria database).

Cell lengths 7.430, 7.430, 2.728 Å; angles 90.00, 90.00, 90.00 degrees
Element x y z (fractional)
Ir1 0.176 0.324 0.000
Ir2 0.324 0.824 0.000
Ir3 0.676 0.176 0.000
Ir4 0.824 0.676 0.000
Os1 0.000 0.000 0.500
Os2 0.500 0.500 0.500
Rh1 0.123 0.623 0.500
Rh2 0.377 0.123 0.500
Rh3 0.623 0.877 0.500
Rh4 0.877 0.377 0.500

Theoretical density in g/cm3: 17.21
E above lowest polymorph in meV/atom: 535
D(E_F) in states/eV per atom: 1.10
ΔH_f (0 K) in eV/atom: 0.53

---

Number 2 is which compound?
Ir2OsRh2